# Li4YHo3Se8

A relaxed Li4YHo3Se8 crystal (PBE-GGA, Alexandria).

Cell: 8.1154 8.0131 8.1141 Å, 120.46 120.01 90.00°
With the nearest neighbours (Å) after each atom.
Element x y z (fractional)
Li 0.5000 0.0000 0.5000  6 Se 2.84-2.85
Li 0.0000 0.0000 0.0000  6 Se 2.84-2.85
Ho 0.0000 0.5000 0.5000  6 Se 2.86
Se 0.2517 0.7528 0.5034  3 Li 2.83-2.85, 2 Ho 2.86, 1 Y 2.87
Y 0.0000 0.5000 0.0000  6 Se 2.87
Se 0.7483 0.2472 0.9985  3 Li 2.83-2.85, 2 Ho 2.86, 1 Y 2.87
Li 0.5000 0.0000 0.0000  6 Se 2.83
Ho 0.5000 0.5000 0.0000  6 Se 2.86
Se 0.7483 0.2472 0.4967  3 Li 2.83-2.85, 2 Ho 2.86, 1 Y 2.87
Li 0.0000 0.0000 0.5000  6 Se 2.84-2.85
Se 0.2502 0.2472 0.9985  3 Li 2.83-2.85, 2 Ho 2.86, 1 Y 2.87
Se 0.7508 0.7520 0.5016  3 Li 2.84, 3 Ho 2.86
Se 0.7498 0.7528 0.0015  3 Li 2.83-2.85, 2 Ho 2.86, 1 Y 2.87
Se 0.2517 0.7528 0.0015  3 Li 2.83-2.85, 2 Ho 2.86, 1 Y 2.87
Ho 0.5000 0.5000 0.5000  6 Se 2.86
Se 0.2492 0.2480 0.4984  3 Li 2.84, 3 Ho 2.86

Values from the calculation:
DOS at the Fermi energy in states/eV per cell: 0.00
E_form (uncorrected) in kJ per mole of atoms: -164.0
Crystal system: trigonal
Calculated total energy in eV per atom: -5.1825
Magnetic moment in μB/f.u.: 0.00